Computed, not measured: a relaxed structure of Ho2TmUP4 at the GGA-PBE level of DFT.

CIF file:
```
data_Ho2TmUP4
_chemical_formula_sum 'Ho2 Tm1 U1 P4'
_symmetry_space_group_name_H-M 'P 1 2/m 1'
_symmetry_Int_Tables_number 10
_symmetry_space_group_name_Hall '-P 2y'
_cell_length_a 6.850
_cell_length_b 3.948
_cell_length_c 6.857
_cell_angle_alpha 90.00
_cell_angle_beta 109.25
_cell_angle_gamma 90.00
loop_
_atom_site_label
_atom_site_type_symbol
_atom_site_fract_x
_atom_site_fract_y
_atom_site_fract_z
_atom_site_occupancy
Ho1 Ho 0.000 0.000 0.000 1
Ho2 Ho 0.500 0.500 0.000 1
Tm1 Tm 0.000 0.500 0.500 1
U1 U 0.500 0.000 0.500 1
P1 P 0.252 0.000 0.745 1
P2 P 0.253 0.500 0.255 1
```

Results
- total magnetic moment (μB/f.u.) = 2.04
- DFT formation energy (eV/atom) = -1.451
- density of states at the Fermi level (states/eV per cell) = 6.543

=====

Computed, not measured: a relaxed structure of HoTm2UP4 at the GGA-PBE level of DFT.

CIF file:
```
data_HoTm2UP4
_chemical_formula_sum 'Ho1 Tm2 U1 P4'
_symmetry_space_group_name_H-M 'P 1 2/m 1'
_symmetry_Int_Tables_number 10
_symmetry_space_group_name_Hall '-P 2y'
_cell_length_a 6.833
_cell_length_b 3.940
_cell_length_c 6.840
_cell_angle_alpha 90.00
_cell_angle_beta 109.25
_cell_angle_gamma 90.00
loop_
_atom_site_label
_atom_site_type_symbol
_atom_site_fract_x
_atom_site_fract_y
_atom_site_fract_z
_atom_site_occupancy
Ho1 Ho 0.000 0.000 0.000 1
Tm1 Tm 0.500 0.000 0.500 1
Tm2 Tm 0.500 0.500 0.000 1
U1 U 0.000 0.500 0.500 1
P1 P 0.249 0.000 0.747 1
P2 P 0.249 0.500 0.254 1
```

Results
- total magnetic moment (μB/f.u.) = 2.06
- DFT formation energy (eV/atom) = -1.447
- density of states at the Fermi level (states/eV per cell) = 6.642

=====

Q: Which volume values were calculated for the entries above? A: 21.9; 21.7, in A^3/atom.